Record 1
Entry from Alexandria via LeMat-Bulk: a relaxed Sb3Pb crystal (GGA-PBE).

a = 7.084 Å, b = 7.084 Å, c = 5.349 Å
α = 90.00°, β = 90.00°, γ = 120.00°
Fractional coordinates of all 8 atoms:
Sb 0.846 0.691 0.250
Sb 0.309 0.154 0.250
Sb 0.846 0.154 0.250
Sb 0.154 0.309 0.750
Sb 0.691 0.846 0.750
Sb 0.154 0.846 0.750
Pb 0.333 0.667 0.250
Pb 0.667 0.333 0.750

Computed properties:
Spin magnetization = 0.00 μB/cell
Energy above the lowest structure with this stoichiometry = 13.6 kJ/mol of atoms
Electronic total energy = -15.29 eV per formula unit
Crystal system = hexagonal
Raw formation energy = 0.196 eV per atom

Record 2
Entry from Alexandria via LeMat-Bulk: a relaxed Sb3Pb crystal (GGA-PBE).

a = 6.338 Å, b = 6.338 Å, c = 6.338 Å
α = 116.90°, β = 116.90°, γ = 116.90°
Fractional coordinates of all 4 atoms:
Pb 0.000 0.000 0.000
Sb 0.500 0.000 0.500
Sb 0.500 0.500 0.000
Sb 0.000 0.500 0.500

Computed properties:
Spin magnetization = 0.00 μB/cell
Energy above the lowest structure with this stoichiometry = 12.8 kJ/mol of atoms
Electronic total energy = -15.32 eV per formula unit
Crystal system = trigonal
Raw formation energy = 0.188 eV per atom

Record 3
Entry from Alexandria via LeMat-Bulk: a relaxed SbPb4 crystal (GGA-PBE).

a = 6.085 Å, b = 6.085 Å, c = 6.085 Å
α = 99.97°, β = 99.97°, γ = 130.83°
Fractional coordinates of all 5 atoms:
Pb 0.797 0.398 0.195
Pb 0.398 0.203 0.600
Pb 0.203 0.602 0.805
Pb 0.602 0.797 0.400
Sb 0.000 0.000 0.000

Computed properties:
Spin magnetization = 0.00 μB/cell
Energy above the lowest structure with this stoichiometry = 0.4 kJ/mol of atoms
Electronic total energy = -18.77 eV per formula unit
Crystal system = tetragonal
Raw formation energy = 0.038 eV per atom

Record 4
Entry from Alexandria via LeMat-Bulk: a relaxed SbPb crystal (GGA-PBE).

a = 3.421 Å, b = 3.421 Å, c = 5.826 Å
α = 90.00°, β = 90.00°, γ = 120.00°
Fractional coordinates of all 2 atoms:
Pb 0.000 0.000 0.000
Sb 0.667 0.333 0.500

Computed properties:
Spin magnetization = 0.00 μB/cell
Electronic total energy = -7.63 eV per formula unit
Crystal system = hexagonal
Raw formation energy = 0.101 eV per atom

Record 5
Entry from Alexandria via LeMat-Bulk: a relaxed SbPb2 crystal (GGA-PBE).

a = 6.380 Å, b = 6.380 Å, c = 11.349 Å
α = 90.00°, β = 90.00°, γ = 120.00°
Fractional coordinates of all 12 atoms:
Pb 0.000 0.000 0.000
Pb 0.000 0.000 0.500
Pb 0.831 0.663 0.250
Pb 0.169 0.337 0.750
Pb 0.337 0.169 0.250
Pb 0.831 0.169 0.250
Pb 0.169 0.831 0.750
Pb 0.663 0.831 0.750
Sb 0.333 0.667 0.002
Sb 0.667 0.333 0.502
Sb 0.667 0.333 0.998
Sb 0.333 0.667 0.498

Computed properties:
Spin magnetization = 0.00 μB/cell
Energy above the lowest structure with this stoichiometry = 24.0 kJ/mol of atoms
Electronic total energy = -10.72 eV per formula unit
Crystal system = hexagonal
Raw formation energy = 0.274 eV per atom

Record 6
Entry from Alexandria via LeMat-Bulk: a relaxed Sb3Pb crystal (GGA-PBE).

a = 5.449 Å, b = 5.449 Å, c = 3.834 Å
α = 90.00°, β = 90.00°, γ = 90.00°
Fractional coordinates of all 4 atoms:
Pb 0.000 0.000 0.000
Sb 0.500 0.000 0.500
Sb 0.500 0.500 0.000
Sb 0.000 0.500 0.500

Computed properties:
Spin magnetization = 0.00 μB/cell
Energy above the lowest structure with this stoichiometry = 12.4 kJ/mol of atoms
Electronic total energy = -15.34 eV per formula unit
Crystal system = tetragonal
Raw formation energy = 0.184 eV per atom

Record 7
Entry from Alexandria via LeMat-Bulk: a relaxed Sb3Pb crystal (GGA-PBE).

a = 4.853 Å, b = 4.853 Å, c = 4.853 Å
α = 90.00°, β = 90.00°, γ = 90.00°
Fractional coordinates of all 4 atoms:
Pb 0.000 0.000 0.000
Sb 0.000 0.500 0.500
Sb 0.500 0.000 0.500
Sb 0.500 0.500 0.000

Computed properties:
Spin magnetization = 0.00 μB/cell
Energy above the lowest structure with this stoichiometry = 15.4 kJ/mol of atoms
Electronic total energy = -15.22 eV per formula unit
Crystal system = cubic
Raw formation energy = 0.215 eV per atom

Record 8
Entry from Alexandria via LeMat-Bulk: a relaxed SbPb2 crystal (GGA-PBE).

a = 6.560 Å, b = 6.560 Å, c = 8.613 Å
α = 72.78°, β = 72.78°, γ = 31.30°
Fractional coordinates of all 6 atoms:
Pb 0.987 0.987 0.001
Pb 0.345 0.345 0.354
Pb 0.656 0.656 0.667
Pb 0.633 0.633 0.256
Sb 0.935 0.935 0.626
Sb 0.278 0.278 0.929

Computed properties:
Spin magnetization = 0.00 μB/cell
Energy above the lowest structure with this stoichiometry = 4.3 kJ/mol of atoms
Electronic total energy = -11.33 eV per formula unit
Crystal system = monoclinic
Raw formation energy = 0.069 eV per atom

Record 9
Entry from Alexandria via LeMat-Bulk: a relaxed SbPb crystal (GGA-PBE).

a = 4.331 Å, b = 4.331 Å, c = 7.999 Å
α = 90.00°, β = 90.00°, γ = 120.00°
Fractional coordinates of all 4 atoms:
Pb 0.000 0.000 0.000
Pb 0.000 0.000 0.500
Sb 0.333 0.667 0.250
Sb 0.667 0.333 0.750

Computed properties:
Spin magnetization = 0.00 μB/cell
Electronic total energy = -7.64 eV per formula unit
Crystal system = hexagonal
Raw formation energy = 0.095 eV per atom

Record 10
Entry from Alexandria via LeMat-Bulk: a relaxed Sb3Pb crystal (GGA-PBE).

a = 8.971 Å, b = 8.971 Å, c = 4.245 Å
α = 90.00°, β = 90.00°, γ = 126.50°
Fractional coordinates of all 8 atoms:
Sb 0.939 0.061 0.250
Sb 0.061 0.939 0.750
Sb 0.390 0.006 0.250
Sb 0.610 0.994 0.750
Sb 0.994 0.610 0.250
Sb 0.006 0.390 0.750
Pb 0.427 0.573 0.750
Pb 0.573 0.427 0.250

Computed properties:
Spin magnetization = 0.00 μB/cell
Energy above the lowest structure with this stoichiometry = 10.0 kJ/mol of atoms
Electronic total energy = -15.44 eV per formula unit
Crystal system = orthorhombic
Raw formation energy = 0.159 eV per atom

Record 11
Entry from Alexandria via LeMat-Bulk: a relaxed Sb3Pb crystal (GGA-PBE).

a = 6.370 Å, b = 6.370 Å, c = 6.370 Å
α = 143.61°, β = 130.08°, γ = 63.33°
Fractional coordinates of all 4 atoms:
Pb 0.500 0.000 0.500
Sb 0.223 0.223 0.000
Sb 0.777 0.777 0.000
Sb 0.000 0.500 0.500

Computed properties:
Spin magnetization = 0.00 μB/cell
Energy above the lowest structure with this stoichiometry = 7.5 kJ/mol of atoms
Electronic total energy = -15.54 eV per formula unit
Crystal system = orthorhombic
Raw formation energy = 0.133 eV per atom

Record 12
Entry from Alexandria via LeMat-Bulk: a relaxed SbPb4 crystal (GGA-PBE).

a = 6.886 Å, b = 6.886 Å, c = 8.857 Å
α = 98.81°, β = 98.81°, γ = 127.31°
Fractional coordinates of all 10 atoms:
Sb 0.247 0.247 0.000
Sb 0.497 0.997 0.500
Pb 0.673 0.591 0.807
Pb 0.784 0.866 0.193
Pb 0.709 0.136 0.898
Pb 0.238 0.812 0.102
Pb 0.386 0.459 0.398
Pb 0.062 0.988 0.602
Pb 0.116 0.534 0.693
Pb 0.841 0.423 0.307

Computed properties:
Spin magnetization = 0.00 μB/cell
Energy above the lowest structure with this stoichiometry = 0.0 kJ/mol of atoms
Electronic total energy = -18.79 eV per formula unit
Crystal system = orthorhombic
Raw formation energy = 0.034 eV per atom